# MgPb3

An optimized crystal structure of MgPb3 (GGA-PBE, Alexandria).

Structure (CIF):
```
data_MgPb3
_chemical_formula_sum 'Mg1 Pb3'
_space_group_name_H-M_alt 'P 1'
_space_group_IT_number 1
_cell_length_a 3.556
_cell_length_b 3.556
_cell_length_c 10.665
_cell_angle_alpha 90.00
_cell_angle_beta 90.00
_cell_angle_gamma 120.00
loop_
_space_group_symop_operation_xyz
'x,y,z'
loop_
_atom_site_label
_atom_site_type_symbol
_atom_site_fract_x
_atom_site_fract_y
_atom_site_fract_z
Mg1 Mg 0.000 0.000 0.000
Pb1 Pb 0.000 0.000 0.500
Pb2 Pb 0.667 0.333 0.229
Pb3 Pb 0.667 0.333 0.771
```

Results
Density (g/cm3): 9.2
DOS at the Fermi energy (states/eV/atom): 0.65
Final energy (eV/atom): -3.18
Crystal system: hexagonal
DFT formation energy (eV/atom): 0.001

# CeSmNp2S4

An optimized crystal structure of CeSmNp2S4 (GGA-PBE, Alexandria).

Structure (CIF):
```
data_CeSmNp2S4
_chemical_formula_sum 'Ce1 Sm1 Np2 S4'
_space_group_name_H-M_alt 'P 1'
_space_group_IT_number 1
_cell_length_a 6.837
_cell_length_b 3.962
_cell_length_c 6.878
_cell_angle_alpha 90.00
_cell_angle_beta 109.49
_cell_angle_gamma 90.00
loop_
_space_group_symop_operation_xyz
'x,y,z'
loop_
_atom_site_label
_atom_site_type_symbol
_atom_site_fract_x
_atom_site_fract_y
_atom_site_fract_z
Ce1 Ce 0.000 0.000 0.000
Sm1 Sm 0.000 0.500 0.500
Np1 Np 0.500 0.000 0.500
Np2 Np 0.500 0.500 0.000
S1 S 0.260 0.000 0.753
S2 S 0.261 0.500 0.255
S3 S 0.739 0.500 0.745
S4 S 0.740 0.000 0.247
```

Results
Density (g/cm3): 8.4
ΔE_f (raw) (kJ/mol of atoms): -165.7
DOS at the Fermi energy (states/eV/atom): 1.94
Final energy (eV/atom): -8.35
Crystal system: monoclinic

# Y4TlAu

An optimized crystal structure of Y4TlAu (GGA-PBE, Alexandria).

Structure (CIF):
```
data_Y4TlAu
_chemical_formula_sum 'Y8 Tl2 Au2'
_space_group_name_H-M_alt 'P 1'
_space_group_IT_number 1
_cell_length_a 5.451
_cell_length_b 6.998
_cell_length_c 8.845
_cell_angle_alpha 90.00
_cell_angle_beta 97.02
_cell_angle_gamma 90.00
loop_
_space_group_symop_operation_xyz
'x,y,z'
loop_
_atom_site_label
_atom_site_type_symbol
_atom_site_fract_x
_atom_site_fract_y
_atom_site_fract_z
Y1 Y 0.178 0.250 0.065
Y2 Y 0.222 0.750 0.384
Y3 Y 0.305 0.508 0.749
Y4 Y 0.305 0.992 0.749
Y5 Y 0.695 0.008 0.251
Y6 Y 0.695 0.492 0.251
Y7 Y 0.778 0.250 0.616
Y8 Y 0.822 0.750 0.935
Tl1 Tl 0.236 0.250 0.423
Tl2 Tl 0.764 0.750 0.577
Au1 Au 0.332 0.750 0.059
Au2 Au 0.668 0.250 0.941
```

Results
Density (g/cm3): 7.5
DOS at the Fermi energy (states/eV/atom): 0.86
Final energy (eV/atom): -5.67
Crystal system: monoclinic
Offset from the most stable computed form (eV/atom): 0.000
DFT formation energy (eV/atom): -0.422

# ZrTiZn3

An optimized crystal structure of ZrTiZn3 (GGA-PBE, Alexandria).

Structure (CIF):
```
data_ZrTiZn3
_chemical_formula_sum 'Zr1 Ti1 Zn3'
_space_group_name_H-M_alt 'P 1'
_space_group_IT_number 1
_cell_length_a 4.983
_cell_length_b 4.983
_cell_length_c 4.983
_cell_angle_alpha 90.00
_cell_angle_beta 90.00
_cell_angle_gamma 90.00
loop_
_space_group_symop_operation_xyz
'x,y,z'
loop_
_atom_site_label
_atom_site_type_symbol
_atom_site_fract_x
_atom_site_fract_y
_atom_site_fract_z
Zr1 Zr 0.000 0.000 0.000
Ti1 Ti 0.500 0.500 0.500
Zn1 Zn 0.000 0.000 0.500
Zn2 Zn 0.000 0.500 0.000
Zn3 Zn 0.500 0.000 0.000
```

Results
Density (g/cm3): 4.5
DOS at the Fermi energy (states/eV/atom): 1.73
Final energy (eV/atom): -2.86
Crystal system: cubic
Offset from the most stable computed form (eV/atom): 1.166
DFT formation energy (eV/atom): 1.196

# MgSbPt2

An optimized crystal structure of MgSbPt2 (GGA-PBE, Alexandria).

Structure (CIF):
```
data_MgSbPt2
_chemical_formula_sum 'Mg1 Sb1 Pt2'
_space_group_name_H-M_alt 'P 1'
_space_group_IT_number 1
_cell_length_a 4.679
_cell_length_b 4.679
_cell_length_c 4.679
_cell_angle_alpha 60.00
_cell_angle_beta 60.00
_cell_angle_gamma 60.00
loop_
_space_group_symop_operation_xyz
'x,y,z'
loop_
_atom_site_label
_atom_site_type_symbol
_atom_site_fract_x
_atom_site_fract_y
_atom_site_fract_z
Mg1 Mg 0.000 0.000 0.000
Sb1 Sb 0.750 0.750 0.750
Pt1 Pt 0.250 0.250 0.250
Pt2 Pt 0.500 0.500 0.500
```

Results
Density (g/cm3): 12.3
ΔE_f (raw) (kJ/mol of atoms): -26.5
DOS at the Fermi energy (states/eV/atom): 0.43
Final energy (eV/atom): -4.72
Crystal system: cubic

# CaEuSc

An optimized crystal structure of CaEuSc (GGA-PBE, Alexandria).

Structure (CIF):
```
data_CaEuSc
_chemical_formula_sum 'Ca1 Eu1 Sc1'
_space_group_name_H-M_alt 'P 1'
_space_group_IT_number 1
_cell_length_a 8.256
_cell_length_b 8.256
_cell_length_c 8.256
_cell_angle_alpha 154.43
_cell_angle_beta 154.43
_cell_angle_gamma 36.47
loop_
_space_group_symop_operation_xyz
'x,y,z'
loop_
_atom_site_label
_atom_site_type_symbol
_atom_site_fract_x
_atom_site_fract_y
_atom_site_fract_z
Ca1 Ca 0.000 0.000 0.000
Eu1 Eu 0.309 0.309 0.000
Sc1 Sc 0.659 0.659 0.000
```

Results
Density (g/cm3): 3.8
DOS at the Fermi energy (states/eV/atom): 1.29
Final energy (eV/atom): -6.04
Crystal system: tetragonal
Offset from the most stable computed form (eV/atom): 0.000
DFT formation energy (eV/atom): 0.165